{
  "formula": "LiMn6O4F8",
  "functional": "PBE+U",
  "state": "relaxed",
  "spacegroup": "P1, No. 1",
  "dft_energy_ev_per_atom": -6.52,
  "relative_energy_ev_per_atom": 0.000,
  "lattice": [[5.1875, -0.0059, 0.0491], [0.7125, 5.2627, -0.2597], [0.3627, 0.2839, 8.2624]],
  "species": ["Li", "Mn", "Mn", "Mn", "Mn", "Mn", "Mn", "O", "O", "O", "O", "F", "F", "F", "F", "F", "F", "F", "F"],
  "frac_coords": [[0.9549, 0.1123, 0.5451], [0.5155, 0.5857, 0.0541], [0.4848, 0.1002, 0.2658], [0.5021, 0.8460, 0.6592], [0.8973, 0.6263, 0.3439], [0.0711, 0.5377, 0.7501], [0.0185, 0.0242, 0.9915], [0.7155, 0.8702, 0.1260], [0.6561, 0.4020, 0.2324], [0.6573, 0.9419, 0.4598], [0.3307, 0.7408, 0.8688], [0.7612, 0.4802, 0.5934], [0.8205, 0.3801, 0.9153], [0.8171, 0.9101, 0.7755], [0.1925, 0.7417, 0.5401], [0.2917, 0.2905, 0.0445], [0.1626, 0.2816, 0.3745], [0.2406, 0.1753, 0.6947], [0.2154, 0.8284, 0.2070]]
}